# 1
Material: SrCaSeO6
Method: DFT, PBE-GGA
State: optimized geometry

Cell and atoms, written as POSCAR:
```
SrCaSeO6
1.0
5.595 0.000 0.000
-2.798 4.846 0.000
0.000 0.000 5.106
Sr Ca Se O
1 1 1 6
direct
0.000 0.000 0.000 Sr
0.333 0.667 0.500 Ca
0.667 0.333 0.500 Se
0.395 0.072 0.700 O
0.395 0.323 0.300 O
0.677 0.072 0.300 O
0.677 0.605 0.700 O
0.928 0.323 0.700 O
0.928 0.605 0.300 O
```

Calculated values
The space group is P312, No. 149. The total energy is -5.58 eV/atom. Its total moment is 2.00 μB per formula unit. The volume is 15.38 A^3/atom. Its uncorrected formation energy is -13.32 eV/f.u.

---

# 2
Material: CaTbSe2O8
Method: DFT, PBE-GGA
State: optimized geometry

Cell and atoms, written as POSCAR:
```
CaTbSe2O8
1.0
5.747 0.000 0.000
-2.873 4.977 0.000
0.000 0.000 6.994
Ca Tb Se O
1 1 2 8
direct
0.000 0.000 0.000 Ca
0.000 0.000 0.500 Tb
0.333 0.667 0.797 Se
0.667 0.333 0.203 Se
0.163 0.327 0.727 O
0.163 0.837 0.727 O
0.327 0.163 0.273 O
0.333 0.667 0.033 O
0.667 0.333 0.967 O
0.673 0.837 0.727 O
0.837 0.163 0.273 O
0.837 0.673 0.273 O
```

Calculated values
The space group is P-3m1, No. 164. The total energy is -6.04 eV/atom. Its total moment is 0.00 μB per formula unit. The volume is 16.67 A^3/atom. Its uncorrected formation energy is -19.21 eV/f.u.

---

# 3
Material: CaTiSeO5
Method: DFT, PBE-GGA
State: optimized geometry

Cell and atoms, written as POSCAR:
```
CaTiSeO5
1.0
3.671 -4.270 0.000
3.671 4.270 0.000
-3.337 0.000 6.810
Ca Ti Se O
2 2 2 10
direct
0.059 0.941 0.750 Ca
0.941 0.059 0.250 Ca
0.000 0.500 0.000 Ti
0.500 0.000 0.500 Ti
0.458 0.542 0.750 Se
0.542 0.458 0.250 Se
0.182 0.245 0.061 O
0.226 0.774 0.250 O
0.245 0.182 0.561 O
0.258 0.628 0.883 O
0.372 0.742 0.617 O
0.628 0.258 0.383 O
0.742 0.372 0.117 O
0.755 0.818 0.439 O
0.774 0.226 0.750 O
0.818 0.755 0.939 O
```

Calculated values
The space group is C2/c, No. 15. The total energy is -6.89 eV/atom. Its total moment is 0.00 μB per formula unit. The volume is 13.34 A^3/atom. Its uncorrected formation energy is -16.96 eV/f.u.

---

# 4
Material: CaTlSe2O6
Method: DFT, PBE-GGA
State: optimized geometry

Cell and atoms, written as POSCAR:
```
CaTlSe2O6
1.0
3.921 -5.615 0.000
3.921 5.615 0.000
-0.595 0.000 8.139
Ca Tl Se O
2 2 4 12
direct
0.128 0.872 0.750 Ca
0.872 0.128 0.250 Ca
0.289 0.711 0.250 Tl
0.711 0.289 0.750 Tl
0.189 0.392 0.617 Se
0.392 0.189 0.117 Se
0.608 0.811 0.883 Se
0.811 0.608 0.383 Se
0.051 0.778 0.463 O
0.102 0.515 0.771 O
0.222 0.949 0.037 O
0.232 0.292 0.219 O
0.292 0.232 0.719 O
0.485 0.898 0.729 O
0.515 0.102 0.271 O
0.708 0.768 0.281 O
0.768 0.708 0.781 O
0.778 0.051 0.963 O
0.898 0.485 0.229 O
0.949 0.222 0.537 O
```

Calculated values
The space group is C2/c, No. 15. The total energy is -5.39 eV/atom. Its total moment is 0.00 μB per formula unit. The volume is 17.92 A^3/atom. Its uncorrected formation energy is -12.84 eV/f.u.

---

- What is the total moment in the fourth record?
  0.00 μB per formula unit

---

- Which value of total moment does entry 4 give?
  0.00 μB per formula unit

---

- Which value of total moment does entry 2 give?
  0.00 μB per formula unit

---

Copy entry 1 word for word.
Material: SrCaSeO6
Method: DFT, PBE-GGA
State: optimized geometry

Cell and atoms, written as POSCAR:
```
SrCaSeO6
1.0
5.595 0.000 0.000
-2.798 4.846 0.000
0.000 0.000 5.106
Sr Ca Se O
1 1 1 6
direct
0.000 0.000 0.000 Sr
0.333 0.667 0.500 Ca
0.667 0.333 0.500 Se
0.395 0.072 0.700 O
0.395 0.323 0.300 O
0.677 0.072 0.300 O
0.677 0.605 0.700 O
0.928 0.323 0.700 O
0.928 0.605 0.300 O
```

Calculated values
The space group is P312, No. 149. The total energy is -5.58 eV/atom. Its total moment is 2.00 μB per formula unit. The volume is 15.38 A^3/atom. Its uncorrected formation energy is -13.32 eV/f.u.